(1)
Density functional theory data (PBE-GGA) for a relaxed structure of La4Tb5Tm3.

Cell lengths 5.978, 8.693, 9.673 Å; angles 104.87, 72.00, 69.89 degrees
Fractional positions:
Tb1 0.211 0.459 0.120
Tb2 0.789 0.541 0.880
Tb3 0.500 0.500 0.500
Tb4 0.638 0.932 0.792
Tb5 0.362 0.068 0.208
Tm1 0.478 0.307 0.737
Tm2 0.000 0.500 0.500
Tm3 0.522 0.693 0.263
La1 0.838 0.944 0.379
La2 0.162 0.056 0.621
La3 0.139 0.774 0.948
La4 0.861 0.226 0.052

The density of states at the Fermi level is 1.73 states/eV/atom. Its formation energy is 223 meV/atom. For the total magnetization, the calculation gives 0.472 μB per formula unit. The calculation puts the total energy at -4.467 eV/atom. The mass density comes out at 7.5 g cm⁻³.

(2)
Density functional theory data (PBE-GGA) for a relaxed structure of Ni2TeW.

Cell lengths 4.241, 3.078, 4.580 Å; angles 89.97, 90.00, 90.00 degrees
Fractional positions:
W1 0.500 0.626 0.813
Ni1 0.000 0.124 0.974
Ni2 0.500 0.125 0.279
Te1 0.000 0.624 0.433

The density of states at the Fermi level is 0.88 states/eV/atom. For the total magnetization, the calculation gives 0.000 μB per formula unit. The calculation puts the total energy at -6.527 eV/atom. The mass density comes out at 11.9 g cm⁻³.

(3)
Density functional theory data (PBE-GGA) for a relaxed structure of Li4TcRu.

Cell lengths 4.685, 4.685, 4.685 Å; angles 60.00, 60.00, 60.00 degrees
Fractional positions:
Li1 0.375 0.375 0.375
Li2 0.375 0.874 0.375
Li3 0.874 0.375 0.375
Li4 0.375 0.375 0.874
Tc1 0.000 0.000 0.000
Ru1 0.750 0.750 0.750

The density of states at the Fermi level is 0.78 states/eV/atom. Its formation energy is 385 meV/atom. For the total magnetization, the calculation gives 0.000 μB per formula unit. The calculation puts the total energy at -4.165 eV/atom. The mass density comes out at 5.2 g cm⁻³.

(4)
Density functional theory data (PBE-GGA) for a relaxed structure of Mg4BeHg.

Cell lengths 5.668, 5.668, 5.668 Å; angles 60.00, 60.00, 60.00 degrees
Fractional positions:
Be1 0.750 0.750 0.750
Mg1 0.375 0.375 0.874
Mg2 0.375 0.375 0.375
Mg3 0.375 0.874 0.375
Mg4 0.874 0.375 0.375
Hg1 0.000 0.000 0.000

The density of states at the Fermi level is 0.29 states/eV/atom. Its formation energy is 390 meV/atom. For the total magnetization, the calculation gives 0.000 μB per formula unit. The calculation puts the total energy at -1.344 eV/atom. The mass density comes out at 4.0 g cm⁻³.

(5)
Density functional theory data (PBE-GGA) for a relaxed structure of CsPmMoN3.

Cell lengths 3.938, 7.227, 8.772 Å; angles 103.72, 90.00, 105.81 degrees
Fractional positions:
N1 0.127 0.255 0.765
N2 0.514 0.027 0.361
N3 0.486 0.973 0.639
N4 0.159 0.317 0.376
N5 0.841 0.683 0.624
N6 0.873 0.745 0.235
Pm1 0.662 0.323 0.582
Pm2 0.338 0.677 0.418
Cs1 0.643 0.286 0.070
Cs2 0.357 0.714 0.930
Mo1 0.009 0.018 0.340
Mo2 0.991 0.982 0.660

For the total magnetization, the calculation gives 0.000 μB per formula unit. The calculation puts the total energy at -7.379 eV/atom. The mass density comes out at 5.9 g cm⁻³.

(6)
Density functional theory data (PBE-GGA) for a relaxed structure of CaHf2F.

Cell lengths 5.017, 5.017, 5.017 Å; angles 60.00, 60.00, 60.00 degrees
Fractional positions:
Ca1 0.500 0.500 0.500
Hf1 0.250 0.250 0.250
Hf2 0.750 0.750 0.750
F1 0.000 0.000 0.000

The density of states at the Fermi level is 1.63 states/eV/atom. For the total magnetization, the calculation gives 0.000 μB per formula unit. The calculation puts the total energy at -5.410 eV/atom. The mass density comes out at 7.7 g cm⁻³.

(7)
Density functional theory data (PBE-GGA) for a relaxed structure of Cd4HgF10.

Cell lengths 3.899, 3.899, 16.128 Å; angles 83.06, 83.06, 60.00 degrees
Fractional positions:
F1 0.351 0.351 0.946
F2 0.649 0.649 0.054
F3 0.249 0.249 0.253
F4 0.150 0.150 0.550
F5 0.751 0.751 0.747
F6 0.451 0.451 0.648
F7 0.549 0.549 0.352
F8 0.850 0.850 0.450
F9 0.052 0.052 0.845
F10 0.948 0.948 0.155
Hg1 0.000 0.000 0.000
Cd1 0.598 0.598 0.205
Cd2 0.199 0.199 0.402
Cd3 0.801 0.801 0.598
Cd4 0.402 0.402 0.795

The density of states at the Fermi level is 0.00 states/eV/atom. For the total magnetization, the calculation gives 0.000 μB per formula unit. The calculation puts the total energy at -3.556 eV/atom. The mass density comes out at 6.6 g cm⁻³.

(8)
Density functional theory data (PBE-GGA) for a relaxed structure of BeAl2Ni.

Cell lengths 4.310, 4.310, 4.534 Å; angles 79.93, 79.93, 37.16 degrees
Fractional positions:
Al1 0.997 0.997 0.002
Al2 0.503 0.503 0.498
Ni1 0.250 0.250 0.250
Be1 0.750 0.750 0.750

The density of states at the Fermi level is 0.32 states/eV/atom. Its formation energy is -135 meV/atom. For the total magnetization, the calculation gives 0.000 μB per formula unit. The calculation puts the total energy at -4.383 eV/atom. The mass density comes out at 4.0 g cm⁻³.

(9)
Density functional theory data (PBE-GGA) for a relaxed structure of Ce2MgOs.

Cell lengths 3.242, 3.242, 9.246 Å; angles 90.00, 90.00, 90.00 degrees
Fractional positions:
Ce1 0.000 0.000 0.800
Ce2 0.000 0.000 0.200
Mg1 0.500 0.500 0.500
Os1 0.500 0.500 0.000

The density of states at the Fermi level is 1.98 states/eV/atom. Its formation energy is -102 meV/atom. For the total magnetization, the calculation gives 0.000 μB per formula unit. The calculation puts the total energy at -6.275 eV/atom. The mass density comes out at 8.5 g cm⁻³.

(10)
Density functional theory data (PBE-GGA) for a relaxed structure of NaAs3Pd6.

Cell lengths 6.996, 7.107, 7.107 Å; angles 95.17, 90.00, 90.00 degrees
Fractional positions:
Pd1 0.151 0.729 0.607
Pd2 0.793 0.995 0.005
Pd3 0.151 0.393 0.271
Pd4 0.056 0.778 0.222
Pd5 0.779 0.918 0.540
Pd6 0.651 0.271 0.393
Pd7 0.651 0.607 0.729
Pd8 0.279 0.082 0.460
Pd9 0.293 0.005 0.995
Pd10 0.556 0.222 0.778
Pd11 0.279 0.540 0.918
Pd12 0.779 0.460 0.082
Na1 0.001 0.240 0.760
Na2 0.501 0.760 0.240
As1 0.862 0.573 0.427
As2 0.362 0.427 0.573
As3 0.457 0.900 0.694
As4 0.957 0.100 0.306
As5 0.457 0.306 0.100
As6 0.957 0.694 0.900

The density of states at the Fermi level is 0.32 states/eV/atom. Its formation energy is -364 meV/atom. For the total magnetization, the calculation gives 0.000 μB per formula unit. The calculation puts the total energy at -5.007 eV/atom. The mass density comes out at 8.4 g cm⁻³.

(11)
Density functional theory data (PBE-GGA) for a relaxed structure of Tl4In3AgI8.

Cell lengths 9.798, 9.807, 9.838 Å; angles 119.91, 119.87, 90.00 degrees
Fractional positions:
Tl1 0.500 0.000 0.500
Tl2 0.000 0.000 0.000
Tl3 0.500 0.000 0.000
Tl4 0.000 0.000 0.500
In1 0.500 0.500 0.000
In2 0.000 0.500 0.500
In3 0.500 0.500 0.500
I1 0.749 0.746 0.497
I2 0.228 0.276 0.002
I3 0.246 0.743 0.492
I4 0.774 0.276 0.002
I5 0.226 0.724 0.998
I6 0.251 0.254 0.503
I7 0.754 0.257 0.508
I8 0.772 0.724 0.998
Ag1 0.000 0.500 0.000

The density of states at the Fermi level is 0.00 states/eV/atom. For the total magnetization, the calculation gives 0.000 μB per formula unit. The calculation puts the total energy at -2.562 eV/atom. The mass density comes out at 5.7 g cm⁻³.

(12)
Density functional theory data (PBE-GGA) for a relaxed structure of SrMnNi2.

Cell lengths 4.154, 4.154, 5.895 Å; angles 69.34, 69.34, 60.00 degrees
Fractional positions:
Ni1 0.311 0.311 0.067
Ni2 0.994 0.994 0.019
Sr1 0.503 0.503 0.491
Mn1 0.692 0.692 0.923

The density of states at the Fermi level is 1.12 states/eV/atom. Its formation energy is 87 meV/atom. For the total magnetization, the calculation gives 4.575 μB per formula unit. The calculation puts the total energy at -5.516 eV/atom. The mass density comes out at 5.4 g cm⁻³.

(13)
Density functional theory data (PBE-GGA) for a relaxed structure of Cs2Bi2P.

Cell lengths 7.793, 7.793, 6.392 Å; angles 90.00, 90.00, 90.00 degrees
Fractional positions:
P1 0.000 0.000 0.000
P2 0.500 0.500 0.000
Cs1 0.677 0.823 0.500
Cs2 0.177 0.677 0.500
Cs3 0.823 0.323 0.500
Cs4 0.323 0.177 0.500
Bi1 0.859 0.641 0.000
Bi2 0.141 0.359 0.000
Bi3 0.641 0.141 0.000
Bi4 0.359 0.859 0.000

The density of states at the Fermi level is 0.69 states/eV/atom. Its formation energy is -75 meV/atom. For the total magnetization, the calculation gives 0.000 μB per formula unit. The calculation puts the total energy at -3.050 eV/atom. The mass density comes out at 6.1 g cm⁻³.

(14)
Density functional theory data (PBE-GGA) for a relaxed structure of TbErAsP.

Cell lengths 4.057, 4.058, 5.731 Å; angles 90.00, 90.00, 90.00 degrees
Fractional positions:
Er1 0.500 0.391 0.092
As1 0.500 0.392 0.593
Tb1 0.000 0.892 0.592
P1 0.000 0.891 0.092

The density of states at the Fermi level is 0.10 states/eV/atom. Its formation energy is -1558 meV/atom. For the total magnetization, the calculation gives 0.000 μB per formula unit. The calculation puts the total energy at -6.371 eV/atom. The mass density comes out at 7.6 g cm⁻³.

(15)
Density functional theory data (PBE-GGA) for a relaxed structure of CeGePt.

Cell lengths 4.450, 7.654, 14.525 Å; angles 90.00, 90.00, 90.00 degrees
Fractional positions:
Ce1 0.000 0.215 0.753
Ce2 0.500 0.785 0.253
Ce3 0.500 0.708 0.000
Ce4 0.000 0.292 0.500
Ce5 0.000 0.215 0.247
Ce6 0.500 0.785 0.747
Ce7 0.000 0.295 0.000
Ce8 0.500 0.705 0.500
Ge1 0.500 0.410 0.352
Ge2 0.500 0.410 0.648
Ge3 0.000 0.590 0.852
Ge4 0.000 0.590 0.148
Ge5 0.000 0.913 0.404
Ge6 0.000 0.913 0.596
Ge7 0.500 0.087 0.904
Ge8 0.500 0.087 0.096
Pt1 0.000 0.922 0.111
Pt2 0.000 0.584 0.646
Pt3 0.500 0.078 0.389
Pt4 0.500 0.078 0.611
Pt5 0.500 0.416 0.146
Pt6 0.000 0.922 0.889
Pt7 0.500 0.416 0.854
Pt8 0.000 0.584 0.354

The density of states at the Fermi level is 1.26 states/eV/atom. Its formation energy is -1072 meV/atom. For the total magnetization, the calculation gives 0.589 μB per formula unit. The calculation puts the total energy at -6.603 eV/atom. The mass density comes out at 11.0 g cm⁻³.

(16)
Density functional theory data (PBE-GGA) for a relaxed structure of KInGaSn2.

Cell lengths 5.964, 5.974, 5.964 Å; angles 90.00, 90.00, 90.00 degrees
Fractional positions:
Sn1 0.500 0.000 0.000
Sn2 0.000 0.000 0.500
In1 0.000 0.500 0.000
Ga1 0.500 0.500 0.500
K1 0.000 0.000 0.000

The density of states at the Fermi level is 0.80 states/eV/atom. Its formation energy is 1006 meV/atom. For the total magnetization, the calculation gives 0.000 μB per formula unit. The calculation puts the total energy at -1.967 eV/atom. The mass density comes out at 3.6 g cm⁻³.

(17)
Density functional theory data (PBE-GGA) for a relaxed structure of V3Ir2Ru.

Cell lengths 4.355, 7.003, 5.806 Å; angles 90.00, 90.00, 71.89 degrees
Fractional positions:
V1 0.819 0.361 0.273
V2 0.180 0.639 0.273
V3 0.500 0.000 0.772
V4 0.820 0.361 0.727
V5 0.181 0.639 0.727
V6 0.500 0.000 0.228
Ru1 0.667 0.667 0.000
Ru2 0.333 0.333 0.000
Ir1 0.643 0.713 0.500
Ir2 0.357 0.287 0.500
Ir3 0.000 0.000 0.000
Ir4 0.000 0.000 0.500

The density of states at the Fermi level is 1.07 states/eV/atom. Its formation energy is -304 meV/atom. For the total magnetization, the calculation gives 0.332 μB per formula unit. The calculation puts the total energy at -9.363 eV/atom. The mass density comes out at 12.6 g cm⁻³.

(18)
Density functional theory data (PBE-GGA) for a relaxed structure of TlRuPt2.

Cell lengths 2.975, 2.975, 7.689 Å; angles 90.00, 90.00, 89.97 degrees
Fractional positions:
Pt1 0.000 0.000 0.019
Pt2 0.500 0.500 0.262
Ru1 0.000 0.000 0.474
Tl1 0.500 0.500 0.745

The density of states at the Fermi level is 0.97 states/eV/atom. Its formation energy is 255 meV/atom. For the total magnetization, the calculation gives 0.000 μB per formula unit. The calculation puts the total energy at -5.676 eV/atom. The mass density comes out at 17.0 g cm⁻³.

(19)
Density functional theory data (PBE-GGA) for a relaxed structure of BiMoH3.

Cell lengths 3.768, 3.768, 3.768 Å; angles 90.00, 90.00, 90.00 degrees
Fractional positions:
H1 0.000 0.000 0.500
H2 0.500 0.000 0.000
H3 0.000 0.500 0.000
Bi1 0.500 0.500 0.500
Mo1 0.000 0.000 0.000

The density of states at the Fermi level is 0.36 states/eV/atom. For the total magnetization, the calculation gives 0.000 μB per formula unit. The calculation puts the total energy at -4.556 eV/atom. The mass density comes out at 9.6 g cm⁻³.

(20)
Density functional theory data (PBE-GGA) for a relaxed structure of Pr6Sm3Dy2Tl.

Cell lengths 6.310, 6.310, 11.937 Å; angles 95.17, 95.17, 120.25 degrees
Fractional positions:
Sm1 0.831 0.169 0.500
Sm2 0.500 0.500 0.500
Sm3 0.169 0.831 0.500
Pr1 0.592 0.920 0.755
Pr2 0.080 0.408 0.245
Pr3 0.246 0.246 0.753
Pr4 0.408 0.080 0.245
Pr5 0.920 0.592 0.755
Pr6 0.754 0.754 0.247
Dy1 0.666 0.334 0.000
Dy2 0.334 0.666 0.000
Tl1 0.000 0.000 0.000

The density of states at the Fermi level is 1.25 states/eV/atom. Its formation energy is -8 meV/atom. For the total magnetization, the calculation gives 0.000 μB per formula unit. The calculation puts the total energy at -4.542 eV/atom. The mass density comes out at 7.5 g cm⁻³.

(21)
Density functional theory data (PBE-GGA) for a relaxed structure of Dy3Pu2ScTe6.

Cell lengths 4.332, 8.735, 9.734 Å; angles 103.39, 102.86, 90.00 degrees
Fractional positions:
Te1 0.996 0.239 0.992
Te2 0.339 0.924 0.678
Te3 0.661 0.076 0.322
Te4 0.004 0.761 0.008
Te5 0.666 0.585 0.332
Te6 0.334 0.415 0.668
Pu1 0.165 0.331 0.330
Pu2 0.835 0.669 0.670
Dy1 0.500 0.500 0.000
Dy2 0.829 0.165 0.658
Dy3 0.171 0.835 0.342
Sc1 0.500 0.000 0.000

The density of states at the Fermi level is 1.84 states/eV/atom. For the total magnetization, the calculation gives 12.141 μB per formula unit. The calculation puts the total energy at -6.840 eV/atom. The mass density comes out at 8.5 g cm⁻³.

(22)
Density functional theory data (PBE-GGA) for a relaxed structure of Cs2TeBr6Cl.

Cell lengths 8.652, 8.652, 8.160 Å; angles 57.98, 57.98, 90.00 degrees
Fractional positions:
Cl1 0.500 0.500 0.000
Br1 0.777 0.777 0.000
Br2 0.745 0.745 0.510
Br3 0.255 0.255 0.490
Br4 0.777 0.223 0.000
Br5 0.223 0.223 0.000
Br6 0.223 0.777 0.000
Cs1 0.250 0.750 0.500
Cs2 0.750 0.250 0.500
Te1 0.000 0.000 0.000

The density of states at the Fermi level is 0.17 states/eV/atom. For the total magnetization, the calculation gives 0.000 μB per formula unit. The calculation puts the total energy at -2.592 eV/atom. The mass density comes out at 3.7 g cm⁻³.